Model A:
A plane-wave DFT calculation with GGA+U was carried out for crystalline SrAlW2F at its relaxed geometry.

Geometry as CIF:
```
data_SrAlW2F
_chemical_formula_sum 'Sr1 Al1 W2 F1'
_cell_length_a 5.047
_cell_length_b 6.410
_cell_length_c 5.047
_cell_angle_alpha 90.00
_cell_angle_beta 90.00
_cell_angle_gamma 90.00
_space_group_name_H-M_alt 'P 1'
_space_group_IT_number 1
loop_
_space_group_symop_operation_xyz
'x,y,z'
loop_
_atom_site_label
_atom_site_fract_x
_atom_site_fract_y
_atom_site_fract_z
_atom_site_occupancy
W1 0.500 0.000 0.000 1
W2 0.000 0.000 0.500 1
F1 0.500 0.500 0.500 1
Sr1 0.000 0.500 0.000 1
Al1 0.000 0.000 0.000 1
```

Output
spin magnetization = 8.25 μB per cell
SG = P4/mmm (123)

Model B:
A plane-wave DFT calculation with GGA+U was carried out for crystalline SrAlW2F at its relaxed geometry.

Geometry as CIF:
```
data_SrAlW2F
_chemical_formula_sum 'Sr1 Al1 W2 F1'
_cell_length_a 6.262
_cell_length_b 6.486
_cell_length_c 6.262
_cell_angle_alpha 90.00
_cell_angle_beta 90.00
_cell_angle_gamma 90.00
_space_group_name_H-M_alt 'P 1'
_space_group_IT_number 1
loop_
_space_group_symop_operation_xyz
'x,y,z'
loop_
_atom_site_label
_atom_site_fract_x
_atom_site_fract_y
_atom_site_fract_z
_atom_site_occupancy
Sr1 0.000 0.000 0.000 1
W1 0.000 0.000 0.500 1
W2 0.500 0.000 0.000 1
Al1 0.000 0.500 0.000 1
F1 0.500 0.500 0.500 1
```

Output
spin magnetization = 11.44 μB per cell
SG = P4/mmm (123)

What is the most stable structure shown above? It is model A.